An optimized crystal structure of PrSm3In2. Source: Alexandria via LeMat-Bulk, functional PBE-GGA.

Unit cell a=5.4595 b=9.3541 c=9.4091 alpha=124.10 beta=90.00 gamma=106.97
Fractional coordinates of all 12 atoms:
Pr1 0.8701 0.7401 0.9124
Pr2 0.1299 0.2599 0.0876
Sm1 0.0593 0.1186 0.4051
Sm2 0.6174 0.2348 0.6901
Sm3 0.9407 0.8814 0.5949
Sm4 0.3826 0.7652 0.3099
Sm5 0.6938 0.3876 0.3895
Sm6 0.3062 0.6124 0.6105
In1 0.4808 0.9616 0.1283
In2 0.2283 0.4566 0.8649
In3 0.7717 0.5434 0.1351
In4 0.5192 0.0384 0.8717

Calculated values
E_form	-251	meV per atom
raw total energy	-4.32	eV/atom
crystal system	monoclinic

***

An optimized crystal structure of Pt2Rh. Source: Alexandria via LeMat-Bulk, functional PBE-GGA.

Unit cell a=2.6893 b=6.6971 c=6.6971 alpha=87.69 beta=78.42 gamma=78.42
Fractional coordinates of all 6 atoms:
Rh1 0.7500 0.5000 0.5000
Rh2 0.0000 0.0000 0.0000
Pt1 0.4280 0.6970 0.1970
Pt2 0.3220 0.3030 0.8030
Pt3 0.8750 0.6970 0.8030
Pt4 0.3750 0.3030 0.1970

Calculated values
E_form	437	meV per atom
raw total energy	-6.04	eV/atom
crystal system	tetragonal

***

An optimized crystal structure of PrEu2Al. Source: Alexandria via LeMat-Bulk, functional PBE-GGA.

Unit cell a=5.5814 b=5.5814 c=5.5815 alpha=60.00 beta=60.00 gamma=60.00
Each line ends with the local moment (μB).
Fractional coordinates of all 4 atoms:
Pr1 0.0000 0.0000 0.0000  0.61
Eu1 0.7500 0.7500 0.7500  7.00
Eu2 0.2500 0.2500 0.2500  7.00
Al1 0.5000 0.5000 0.5000  -0.05

Calculated values
E_form	43	meV per atom
raw total energy	-7.22	eV/atom
crystal system	cubic

***

An optimized crystal structure of Zr8In. Source: Alexandria via LeMat-Bulk, functional PBE-GGA.

Unit cell a=7.2267 b=7.2267 c=7.2267 alpha=95.22 beta=95.22 gamma=144.90
Fractional coordinates of all 9 atoms:
Zr1 0.6662 0.6662 0.3324
Zr2 0.6664 0.0000 0.6664
Zr3 0.3336 0.0000 0.3336
Zr4 0.6662 0.3338 0.0000
Zr5 0.0000 0.3336 0.3336
Zr6 0.3338 0.6662 0.0000
Zr7 0.3338 0.3338 0.6676
Zr8 0.0000 0.6664 0.6664
In1 0.0000 0.0000 0.0000

Calculated values
E_form	-87	meV per atom
raw total energy	-7.99	eV/atom
crystal system	tetragonal

***

An optimized crystal structure of AlCuTcW. Source: Alexandria via LeMat-Bulk, functional PBE-GGA.

Unit cell a=4.3311 b=4.3311 c=4.3311 alpha=60.00 beta=60.00 gamma=60.00
Fractional coordinates of all 4 atoms:
Cu1 0.2500 0.2500 0.2500
W1 0.0000 0.0000 0.0000
Tc1 0.7500 0.7500 0.7500
Al1 0.5000 0.5000 0.5000

Calculated values
E_form	-35	meV per atom
raw total energy	-7.82	eV/atom
crystal system	cubic

***

An optimized crystal structure of KMgBr2. Source: Alexandria via LeMat-Bulk, functional PBE-GGA.

Unit cell a=5.6239 b=4.1218 c=5.6346 alpha=89.98 beta=90.00 gamma=90.00
Fractional coordinates of all 4 atoms:
K1 0.0000 0.5002 0.3749
Br1 0.0000 0.9976 0.8751
Br2 0.5000 0.0021 0.3750
Mg1 0.5000 0.0001 0.8750

Calculated values
raw total energy	-2.66	eV/atom
crystal system	orthorhombic

***

An optimized crystal structure of RbHfB2. Source: Alexandria via LeMat-Bulk, functional PBE-GGA.

Unit cell a=5.4183 b=5.4183 c=8.3066 alpha=70.97 beta=70.97 gamma=90.00
Fractional coordinates of all 8 atoms:
B1 0.8757 0.1250 0.2500
B2 0.8743 0.6250 0.2500
B3 0.8750 0.1257 0.7500
B4 0.3750 0.1243 0.7500
Hf1 0.7500 0.2500 0.5000
Hf2 0.0000 0.0000 0.0000
Rb1 0.5000 0.5000 0.0000
Rb2 0.2500 0.7500 0.5000

Calculated values
E_form	1326	meV per atom
raw total energy	-4.74	eV/atom
crystal system	tetragonal

***

An optimized crystal structure of NdEu2Ga. Source: Alexandria via LeMat-Bulk, functional PBE-GGA.

Unit cell a=5.1544 b=4.8353 c=4.8353 alpha=90.00 beta=90.00 gamma=90.00
Each line ends with the local moment (μB).
Fractional coordinates of all 4 atoms:
Eu1 0.0000 0.5000 0.0000  6.90
Eu2 0.0000 0.0000 0.5000  6.90
Nd1 0.5000 0.5000 0.5000  0.10
Ga1 0.5000 0.0000 0.0000  -0.06

Calculated values
E_form	-157	meV per atom
raw total energy	-7.24	eV/atom
crystal system	tetragonal

***

An optimized crystal structure of LaCrHg2. Source: Alexandria via LeMat-Bulk, functional PBE-GGA.

Unit cell a=9.7203 b=9.7203 c=9.7203 alpha=20.84 beta=20.84 gamma=20.84
Each line ends with the local moment (μB).
Fractional coordinates of all 4 atoms:
Hg1 0.0111 0.0111 0.0111  0.02
Hg2 0.4889 0.4889 0.4889  0.02
Cr1 0.7500 0.7500 0.7500  3.77
La1 0.2500 0.2500 0.2500  0.06

Calculated values
E_form	200	meV per atom
raw total energy	-3.59	eV/atom
crystal system	trigonal

***

An optimized crystal structure of Nd2CuSn3Pd4. Source: Alexandria via LeMat-Bulk, functional PBE-GGA.

Unit cell a=4.4756 b=4.4756 c=10.8529 alpha=90.00 beta=90.00 gamma=90.00
Fractional coordinates of all 10 atoms:
Nd1 0.5000 0.0000 0.2616
Nd2 0.0000 0.5000 0.7383
Pd1 0.5000 0.0000 0.6275
Pd2 0.5000 0.5000 0.0000
Pd3 0.0000 0.5000 0.3725
Pd4 0.0000 0.0000 0.0000
Sn1 0.0000 0.0000 0.5000
Sn2 0.0000 0.5000 0.1334
Sn3 0.5000 0.0000 0.8666
Cu1 0.5000 0.5000 0.5000

Calculated values
E_form	-677	meV per atom
raw total energy	-5.32	eV/atom
crystal system	tetragonal

***

An optimized crystal structure of TiIn2HBr. Source: Alexandria via LeMat-Bulk, functional PBE-GGA.

Unit cell a=5.8942 b=3.2343 c=5.8942 alpha=90.00 beta=90.00 gamma=90.00
Each line ends with the local moment (μB).
Fractional coordinates of all 5 atoms:
Ti1 0.5000 0.5000 0.5000  1.00
In1 0.5000 0.0000 0.0000  -0.01
In2 0.0000 0.0000 0.5000  0.01
Br1 0.0000 0.0000 0.0000  0.01
H1 0.0000 0.5000 0.0000  0.00

Calculated values
raw total energy	-3.23	eV/atom
crystal system	tetragonal

***

An optimized crystal structure of Mg2As. Source: Alexandria via LeMat-Bulk, functional PBE-GGA.

Unit cell a=6.0464 b=6.0464 c=9.6958 alpha=90.00 beta=90.00 gamma=120.00
Fractional coordinates of all 12 atoms:
Mg1 0.8288 0.6575 0.2500
Mg2 0.1712 0.3425 0.7500
Mg3 0.1712 0.8288 0.7500
Mg4 0.0000 0.0000 0.5000
Mg5 0.6575 0.8288 0.7500
Mg6 0.0000 0.0000 0.0000
Mg7 0.8288 0.1712 0.2500
Mg8 0.3425 0.1712 0.2500
As1 0.6667 0.3333 0.0332
As2 0.6667 0.3333 0.4668
As3 0.3333 0.6667 0.9668
As4 0.3333 0.6667 0.5332

Calculated values
E_form	115	meV per atom
raw total energy	-2.50	eV/atom
crystal system	hexagonal